No. 1
Rb3Ba2TaSe6: relaxed, PBE.

Results
Total moment: 0.0 μB per formula unit
Energy relative to the elements, uncorrected: -129 kJ per mole of atoms
Symmetry: C2/m (12)

Lattice parameters (Å, degrees): 7.8471 7.8471 8.3021 99.28 99.28 119.89
Fractional positions:
Rb: 0.0000 0.0000 0.0000
Rb: 0.3304 0.6696 0.0000
Rb: 0.6696 0.3304 0.0000
Ba: 0.1664 0.8336 0.5000
Ba: 0.8336 0.1664 0.5000
Ta: 0.5000 0.5000 0.5000
Se: 0.1580 0.4339 0.3026
Se: 0.2932 0.2932 0.6956
Se: 0.4339 0.1580 0.3026
Se: 0.5661 0.8420 0.6974
Se: 0.7068 0.7068 0.3044
Se: 0.8420 0.5661 0.6974

=====

No. 2
Tb4SbAs2: relaxed, PBE.

Results
Total moment: 0.0 μB per formula unit
D(E_F): 0.6923 states/eV per atom
Energy relative to the elements, uncorrected: -115 kJ per mole of atoms
Symmetry: Cmcm (63)

Lattice parameters (Å, degrees): 7.0724 7.0724 13.7392 90.00 90.00 145.61
Fractional positions:
Tb: 0.0000 0.0000 0.0000
Tb: 0.0000 0.0000 0.5000
Tb: 0.2667 0.7333 0.6201
Tb: 0.2667 0.7333 0.8799
Tb: 0.4418 0.5582 0.2500
Tb: 0.5582 0.4418 0.7500
Tb: 0.7333 0.2667 0.1201
Tb: 0.7333 0.2667 0.3799
Sb: 0.1078 0.8922 0.2500
Sb: 0.8922 0.1078 0.7500
As: 0.3648 0.6352 0.0594
As: 0.3648 0.6352 0.4406
As: 0.6352 0.3648 0.5594
As: 0.6352 0.3648 0.9406

=====

No. 3
FeHgI2N: relaxed, PBE.

Results
Total moment: 3.6 μB per formula unit
D(E_F): 1.8218 states/eV per atom
Energy relative to the elements, uncorrected: 140 kJ per mole of atoms
Symmetry: P4/mmm (123)
ΔE to the lowest computed polymorph: 5.36 eV/f.u.

Lattice parameters (Å, degrees): 6.2138 6.2138 3.9375 90.00 90.00 90.00
Fractional positions:
Fe: 0.0000 0.0000 0.0000
Hg: 0.5000 0.5000 0.5000
I: 0.0000 0.5000 0.5000
I: 0.5000 0.0000 0.5000
N: 0.5000 0.5000 0.0000

=====

Q: Number 1 is which compound?
A: Rb3Ba2TaSe6

=====

Q: Look up the total moment of the second one.
A: 0.0 μB per formula unit